# 1
5
Lattice="4.3545 0.0000 0.0000 0.0000 4.3545 0.0000 0.0000 0.0000 5.0667" Properties=species:S:1:pos:R:3 comment="FeAs2PdBr (PBEsol, relaxed)" spacegroup="No. 123" rho_g_cm3=6.78 raw_formation_energy_ev_per_atom=0.497 e_tot_ry_per_atom=-0.3604 pbc="T T T"
Pd 2.1772 2.1772 2.5333
As 0.0000 2.1772 0.0000
Fe 0.0000 0.0000 0.0000
As 2.1772 0.0000 0.0000
Br 0.0000 0.0000 2.5333


# 2
5
Lattice="4.6154 0.0000 0.0000 0.0000 5.0430 0.0000 0.0000 0.0000 5.0430" Properties=species:S:1:pos:R:3 comment="FeAsRhBr2 (PBEsol, relaxed)" spacegroup="No. 123" rho_g_cm3=5.57 raw_formation_energy_ev_per_atom=0.734 e_tot_ry_per_atom=-0.3275 pbc="T T T"
Br 0.0000 0.0000 2.5215
As 2.3077 0.0000 0.0000
Br 0.0000 2.5215 0.0000
Fe 2.3077 2.5215 2.5215
Rh 0.0000 0.0000 0.0000


# 3
5
Lattice="4.7518 0.0000 0.0000 0.0000 4.5150 0.0000 0.0000 0.0000 4.5150" Properties=species:S:1:pos:R:3 comment="FeAs2SeBr (PBEsol, relaxed)" spacegroup="No. 123" rho_g_cm3=6.25 raw_formation_energy_ev_per_atom=0.398 e_tot_ry_per_atom=-0.3367 pbc="T T T"
Fe 0.0000 0.0000 0.0000
Br 2.3759 0.0000 0.0000
As 0.0000 2.2575 0.0000
As 0.0000 0.0000 2.2575
Se 2.3759 2.2575 2.2575


# 4
5
Lattice="-2.7900 -2.2867 -2.9280 0.4534 -3.8439 2.5700 -4.2062 1.4345 2.8876" Properties=species:S:1:pos:R:3 comment="FeTcAs2Br (PBEsol, relaxed)" spacegroup="No. 123" rho_g_cm3=5.57 raw_formation_energy_ev_per_atom=0.940 e_tot_ry_per_atom=-0.4059 pbc="T T T"
Br -2.1031 0.7172 1.4438
Fe -3.2714 -2.3481 1.2648
As -1.3950 -1.1434 -1.4640
As 0.2267 -1.9220 1.2850
Tc 0.0000 0.0000 0.0000


# 5
5
Lattice="-2.8702 -2.2577 2.9066 2.8369 -3.7053 -0.0767 2.5380 1.8614 3.9521" Properties=species:S:1:pos:R:3 comment="FeTeAsBr2 (PBEsol, relaxed)" spacegroup="No. 123" rho_g_cm3=6.31 raw_formation_energy_ev_per_atom=0.257 e_tot_ry_per_atom=-0.2948 pbc="T T T"
As 1.2690 0.9307 1.9761
Br 1.4185 -1.8527 -0.0384
Fe 0.0000 0.0000 0.0000
Br -1.4351 -1.1289 1.4533
Te 1.2524 -2.0508 3.3910


# 6
5
Lattice="4.4237 0.0000 0.0000 0.0000 4.4237 0.0000 0.0000 0.0000 5.0306" Properties=species:S:1:pos:R:3 comment="TiFeAs2Br (PBEsol, relaxed)" spacegroup="No. 123" rho_g_cm3=5.62 raw_formation_energy_ev_per_atom=0.416 e_tot_ry_per_atom=-0.4011 pbc="T T T"
Ti 2.2119 2.2119 2.5153
Fe 0.0000 0.0000 0.0000
Br 0.0000 0.0000 2.5153
As 0.0000 2.2119 0.0000
As 2.2119 0.0000 0.0000


# 7
5
Lattice="-2.0098 -0.5250 -4.3732 -0.7621 -4.6930 0.9136 -4.3885 1.0800 1.8872" Properties=species:S:1:pos:R:3 comment="TiFeAs2Br (PBEsol, relaxed)" spacegroup="No. 123" rho_g_cm3=4.82 raw_formation_energy_ev_per_atom=0.557 e_tot_ry_per_atom=-0.3908 pbc="T T T"
Ti 0.0000 0.0000 0.0000
Fe -3.5802 -2.0690 -0.7862
As -1.0049 -0.2625 -2.1866
As -0.3810 -2.3465 0.4568
Br -2.1943 0.5400 0.9436


# 8
5
Lattice="-4.2694 2.8293 0.4070 0.1842 -0.4577 5.1142 2.8423 4.2490 0.2779" Properties=species:S:1:pos:R:3 comment="ZrFeAs2Br (PBEsol, relaxed)" spacegroup="No. 123" rho_g_cm3=4.63 raw_formation_energy_ev_per_atom=0.608 e_tot_ry_per_atom=-0.3983 pbc="T T T"
As -2.1347 1.4146 0.2035
Br 1.4212 2.1245 0.1389
Fe -0.6214 3.3103 2.8995
As 0.0921 -0.2288 2.5571
Zr 0.0000 0.0000 0.0000


# 9
5
Lattice="4.6084 0.0000 0.0000 0.0000 4.6084 0.0000 0.0000 0.0000 4.8024" Properties=species:S:1:pos:R:3 comment="ZrFeAsBr2 (PBEsol, relaxed)" spacegroup="No. 123" rho_g_cm3=6.22 raw_formation_energy_ev_per_atom=0.309 e_tot_ry_per_atom=-0.3727 pbc="T T T"
Br 0.0000 2.3042 0.0000
Zr 2.3042 2.3042 2.4012
Br 2.3042 0.0000 0.0000
Fe 0.0000 0.0000 0.0000
As 0.0000 0.0000 2.4012


# 10
5
Lattice="5.3501 0.0000 0.0000 0.0000 5.3501 0.0000 0.0000 0.0000 5.7504" Properties=species:S:1:pos:R:3 comment="GaAs2IBr (PBEsol, relaxed)" spacegroup="No. 123" rho_g_cm3=4.30 raw_formation_energy_ev_per_atom=0.931 e_tot_ry_per_atom=-0.1842 pbc="T T T"
Ga 2.6751 2.6751 2.8752
As 0.0000 2.6751 0.0000
As 2.6751 0.0000 0.0000
I 0.0000 0.0000 0.0000
Br 0.0000 0.0000 2.8752


# 11
5
Lattice="4.7951 0.0000 0.0000 0.0000 4.7951 0.0000 0.0000 0.0000 4.9774" Properties=species:S:1:pos:R:3 comment="GaMoAs2Br (PBEsol, relaxed)" spacegroup="No. 123" rho_g_cm3=5.74 raw_formation_energy_ev_per_atom=1.110 e_tot_ry_per_atom=-0.3181 pbc="T T T"
As 0.0000 2.3975 0.0000
Br 0.0000 0.0000 2.4887
Mo 2.3975 2.3975 2.4887
Ga 0.0000 0.0000 0.0000
As 2.3975 0.0000 0.0000


# 12
5
Lattice="-1.2045 -3.3858 2.5819 4.8395 -1.4451 0.3627 0.5656 2.9224 4.0963" Properties=species:S:1:pos:R:3 comment="GaNiAsBr2 (PBEsol, relaxed)" spacegroup="No. 123" rho_g_cm3=5.31 raw_formation_energy_ev_per_atom=0.089 e_tot_ry_per_atom=-0.2631 pbc="T T T"
Br 0.2828 1.4612 2.0481
Br 2.4197 -0.7225 0.1814
Ni 0.0000 0.0000 0.0000
Ga 2.1003 -0.9542 3.5204
As -0.6023 -1.6929 1.2910


# 13
5
Lattice="5.0127 0.0000 0.0000 0.0000 5.0127 0.0000 0.0000 0.0000 5.0755" Properties=species:S:1:pos:R:3 comment="GaAsBr2O (PBEsol, relaxed)" spacegroup="No. 123" rho_g_cm3=4.17 raw_formation_energy_ev_per_atom=0.680 e_tot_ry_per_atom=-0.2063 pbc="T T T"
Ga 0.0000 0.0000 0.0000
As 0.0000 0.0000 2.5377
Br 0.0000 2.5063 0.0000
Br 2.5063 0.0000 0.0000
O 2.5063 2.5063 2.5377


# 14
5
Lattice="-4.4115 -1.4814 0.2467 -0.1693 -0.3694 -5.2464 1.6873 -4.9754 0.2959" Properties=species:S:1:pos:R:3 comment="GaAsPdBr2 (PBEsol, relaxed)" spacegroup="No. 123" rho_g_cm3=5.29 raw_formation_energy_ev_per_atom=0.110 e_tot_ry_per_atom=-0.2586 pbc="T T T"
Br 0.8437 -2.4877 0.1479
Pd 0.0000 0.0000 0.0000
Br -0.0847 -0.1847 -2.6232
As -2.2057 -0.7407 0.1233
Ga -1.4468 -3.4131 -2.3519


# 15
5
Lattice="-2.4876 2.5477 -3.3850 -4.1926 -2.3384 1.3211 -0.9260 3.5576 3.3582" Properties=species:S:1:pos:R:3 comment="GaAsPdBr2 (PBEsol, relaxed)" spacegroup="No. 123" rho_g_cm3=5.60 raw_formation_energy_ev_per_atom=0.542 e_tot_ry_per_atom=-0.2269 pbc="T T T"
Br -2.0963 -1.1692 0.6606
Pd -3.8031 1.8835 0.6471
Br -0.4630 1.7788 1.6791
Ga 0.0000 0.0000 0.0000
As -1.2438 1.2739 -1.6925


# 16
5
Lattice="4.6033 0.0000 0.0000 0.0000 5.3938 0.0000 0.0000 0.0000 5.3938" Properties=species:S:1:pos:R:3 comment="GaAsPtBr2 (PBEsol, relaxed)" spacegroup="No. 123" rho_g_cm3=6.19 raw_formation_energy_ev_per_atom=0.140 e_tot_ry_per_atom=-0.2712 pbc="T T T"
Br 0.0000 2.6969 0.0000
As 0.0000 0.0000 0.0000
Br 0.0000 0.0000 2.6969
Ga 2.3017 2.6969 2.6969
Pt 2.3017 0.0000 0.0000


# 17
5
Lattice="4.6491 0.0000 0.0000 0.0000 5.3147 0.0000 0.0000 0.0000 5.3147" Properties=species:S:1:pos:R:3 comment="GaAsPtBr2 (PBEsol, relaxed)" spacegroup="No. 123" rho_g_cm3=6.32 raw_formation_energy_ev_per_atom=0.148 e_tot_ry_per_atom=-0.2706 pbc="T T T"
Br 0.0000 0.0000 2.6574
Ga 2.3245 2.6574 2.6574
Br 0.0000 2.6574 0.0000
Pt 0.0000 0.0000 0.0000
As 2.3245 0.0000 0.0000


# 18
5
Lattice="-1.6068 4.1517 -1.4953 -4.1095 -1.9875 -1.1024 -1.9067 1.1047 5.1161" Properties=species:S:1:pos:R:3 comment="GaReAs2Br (PBEsol, relaxed)" spacegroup="No. 123" rho_g_cm3=6.56 raw_formation_energy_ev_per_atom=0.442 e_tot_ry_per_atom=-0.3902 pbc="T T T"
Re 0.0000 0.0000 0.0000
Br -0.9534 0.5523 2.5581
As -2.0548 -0.9938 -0.5512
As -0.8034 2.0758 -0.7476
Ga -3.8115 1.6344 1.2592


# 19
5
Lattice="-0.3825 -0.7114 4.7615 4.5935 -1.4841 0.1473 1.4428 4.5445 0.7949" Properties=species:S:1:pos:R:3 comment="GaReAs2Br (PBEsol, relaxed)" spacegroup="No. 123" rho_g_cm3=7.15 raw_formation_energy_ev_per_atom=1.484 e_tot_ry_per_atom=-0.3136 pbc="T T T"
As 2.2968 -0.7421 0.0737
Re 2.8269 1.1745 2.8519
Br 0.7214 2.2723 0.3974
As -0.1913 -0.3557 2.3808
Ga 0.0000 0.0000 0.0000


# 20
5
Lattice="-2.9171 1.9565 -3.6476 2.1191 -3.1908 -3.4063 -3.6145 -3.4887 1.0194" Properties=species:S:1:pos:R:3 comment="GaAsSe2Br (PBEsol, relaxed)" spacegroup="No. 123" rho_g_cm3=4.77 raw_formation_energy_ev_per_atom=0.852 e_tot_ry_per_atom=-0.2022 pbc="T T T"
Se 1.0596 -1.5954 -1.7031
As -1.4585 0.9783 -1.8238
Ga -2.2063 -2.3615 -3.0172
Se -1.8073 -1.7443 0.5097
Br 0.0000 0.0000 0.0000


# 21
5
Lattice="4.6727 0.0000 0.0000 0.0000 4.6727 0.0000 0.0000 0.0000 5.4836" Properties=species:S:1:pos:R:3 comment="GaTcAs2Br (PBEsol, relaxed)" spacegroup="No. 123" rho_g_cm3=5.51 raw_formation_energy_ev_per_atom=0.302 e_tot_ry_per_atom=-0.3701 pbc="T T T"
Tc 0.0000 0.0000 0.0000
Ga 2.3364 2.3364 2.7418
As 0.0000 2.3364 0.0000
Br 0.0000 0.0000 2.7418
As 2.3364 0.0000 0.0000


# 22
5
Lattice="-1.5856 1.6127 -2.7050 3.2082 -2.3191 -3.2631 -3.2717 -3.9287 -0.4245" Properties=species:S:1:pos:R:3 comment="GeAsHBr2 (PBEsol, relaxed)" spacegroup="No. 123" rho_g_cm3=5.52 e_tot_ry_per_atom=-0.2240 pbc="T T T"
Ge -0.8245 -2.3175 -3.1964
Br 1.6041 -1.1595 -1.6316
Br -1.6359 -1.9643 -0.2123
H 0.0000 0.0000 0.0000
As -0.7928 0.8064 -1.3525


# 23
5
Lattice="4.9081 0.0000 0.0000 0.0000 4.9081 0.0000 0.0000 0.0000 4.8438" Properties=species:S:1:pos:R:3 comment="HfGeAs2Br (PBEsol, relaxed)" spacegroup="No. 123" rho_g_cm3=6.84 raw_formation_energy_ev_per_atom=1.025 e_tot_ry_per_atom=-0.3293 pbc="T T T"
As 2.4541 0.0000 0.0000
Hf 2.4541 2.4541 2.4219
Br 0.0000 0.0000 0.0000
As 0.0000 2.4541 0.0000
Ge 0.0000 0.0000 2.4219


# 24
5
Lattice="-2.9632 -0.8755 -3.5420 3.5269 -1.8563 -2.4917 -1.0467 -4.7351 2.0461" Properties=species:S:1:pos:R:3 comment="GeAs2IrBr (PBEsol, relaxed)" spacegroup="No. 123" rho_g_cm3=7.06 raw_formation_energy_ev_per_atom=0.620 e_tot_ry_per_atom=-0.3490 pbc="T T T"
As 1.7634 -0.9282 -1.2458
As -1.4816 -0.4378 -1.7710
Ir 0.0000 0.0000 0.0000
Br -0.5234 -2.3675 1.0230
Ge -0.2415 -3.7335 -1.9938


# 25
5
Lattice="5.0705 0.0000 0.0000 0.0000 5.0705 0.0000 0.0000 0.0000 5.1283" Properties=species:S:1:pos:R:3 comment="MnGeAsBr2 (PBEsol, relaxed)" spacegroup="No. 123" rho_g_cm3=4.56 raw_formation_energy_ev_per_atom=0.549 e_tot_ry_per_atom=-0.3058 pbc="T T T"
As 0.0000 0.0000 2.5642
Br 0.0000 2.5352 0.0000
Br 2.5352 0.0000 0.0000
Ge 0.0000 0.0000 0.0000
Mn 2.5352 2.5352 2.5642


# 26
5
Lattice="4.5541 0.0000 0.0000 0.0000 4.5541 0.0000 0.0000 0.0000 5.1219" Properties=species:S:1:pos:R:3 comment="MnGeAs2Br (PBEsol, relaxed)" spacegroup="No. 123" rho_g_cm3=5.59 raw_formation_energy_ev_per_atom=0.441 e_tot_ry_per_atom=-0.3613 pbc="T T T"
Br 0.0000 0.0000 2.5610
As 2.2770 0.0000 0.0000
Mn 0.0000 0.0000 0.0000
As 0.0000 2.2770 0.0000
Ge 2.2770 2.2770 2.5610


# 27
5
Lattice="-3.4582 2.1353 2.8974 -2.3081 -4.3988 0.4869 2.7808 -1.0093 4.0629" Properties=species:S:1:pos:R:3 comment="NbGeAsBr2 (PBEsol, relaxed)" spacegroup="No. 123" rho_g_cm3=5.31 raw_formation_energy_ev_per_atom=0.832 e_tot_ry_per_atom=-0.3006 pbc="T T T"
Br -1.7291 1.0676 1.4487
Nb -1.4927 -1.6364 3.7236
As 1.3904 -0.5047 2.0315
Ge 0.0000 0.0000 0.0000
Br -1.1540 -2.1994 0.2435


# 28
5
Lattice="5.0459 0.0000 0.0000 0.0000 5.0459 0.0000 0.0000 0.0000 4.9868" Properties=species:S:1:pos:R:3 comment="GeAs2SeBr (PBEsol, relaxed)" spacegroup="No. 123" rho_g_cm3=4.99 raw_formation_energy_ev_per_atom=1.119 e_tot_ry_per_atom=-0.2245 pbc="T T T"
Ge 2.5230 2.5230 2.4934
Br 0.0000 0.0000 0.0000
Se 0.0000 0.0000 2.4934
As 0.0000 2.5230 0.0000
As 2.5230 0.0000 0.0000


# 29
5
Lattice="-4.2628 -0.9533 2.6670 -0.4445 -4.5344 -2.3313 2.7876 -2.1660 3.6813" Properties=species:S:1:pos:R:3 comment="GeAsSeBr2 (PBEsol, relaxed)" spacegroup="No. 123" rho_g_cm3=4.80 raw_formation_energy_ev_per_atom=0.297 e_tot_ry_per_atom=-0.2374 pbc="T T T"
Br -2.1314 -0.4767 1.3335
Se 1.3938 -1.0830 1.8407
Ge -0.9599 -3.8268 2.0085
As 0.0000 0.0000 0.0000
Br -0.2223 -2.2672 -1.1657